Compound: La2SmDy7
Source: Alexandria
Functional: PBE-GGA
Structure: relaxed

Output
formation enthalpy at 0 K: 161 meV per atom
total moment: 0.0 μB per formula unit
polymorph energy (0 for the lowest one): 0.137 eV per atom

Cell lengths 6.5881, 29.0779, 3.5175 Å; angles 90.00, 90.00, 90.00 degrees
With the nearest neighbours (Å) after each atom.
Space group Cmmm (No. 65)
Symmetry-distinct sites (fractional):
1 La 0.0000 0.2058 0.0000 (multiplicity 4)  2 La 3.52, 8 Dy 3.56-3.79
2 Sm 0.0000 0.5000 0.5000 (multiplicity 2)  2 Sm 3.52, 12 Dy 3.72-3.73
3 Dy 0.0000 0.0000 0.0000 (multiplicity 2)  6 Dy 3.30-3.52
4 Dy 0.0000 0.3155 0.5000 (multiplicity 4)  6 Dy 3.47-3.52, 6 La 3.64-3.79
5 Dy 0.2458 0.4022 0.0000 (multiplicity 8)  7 Dy 3.24-3.52, 1 La 3.56